Ni2RhF8 | GGA+U | relaxed

Properties
Symmetry   No. 12
Calculated total energy   -43.91 eV/cell

Lattice parameters (Å, degrees): 5.617 5.730 6.263 66.05 63.36 90.00
Site moments in Bohr magnetons follow the coordinates.
Fractional coordinates of all 11 atoms:
F1 0.797 0.733 0.979  0.05
F2 0.776 0.267 0.021  0.05
F3 0.203 0.267 0.021  0.05
F4 0.189 0.253 0.622  0.11
F5 0.224 0.733 0.979  0.05
Ni1 0.861 0.441 0.278  1.82
F6 0.301 0.836 0.399  0.14
Ni2 0.139 0.559 0.722  1.82
F7 0.811 0.747 0.378  0.11
Rh1 0.000 0.000 0.000  0.60
F8 0.699 0.164 0.601  0.14